Record 1
# Zr3H12Pt5

A relaxed Zr3H12Pt5 crystal (PBE-GGA, Alexandria).

E_tot (eV/atom): -4.963
Total moment (μB per formula unit): 0.000
Crystal system: cubic

Geometry as CIF:
```
data_Zr3H12Pt5
_chemical_formula_sum 'Zr24 H96 Pt40'
_space_group_name_H-M_alt 'I a -3 d'
_space_group_IT_number 230
_space_group_name_Hall '-I 4bd 2c 3'
_cell_length_a 11.521
_cell_length_b 11.521
_cell_length_c 11.521
_cell_angle_alpha 90.00
_cell_angle_beta 90.00
_cell_angle_gamma 90.00
loop_
_atom_site_label
_atom_site_fract_x
_atom_site_fract_y
_atom_site_fract_z
Zr1 0.000 0.250 0.125
H1 0.022 0.058 0.651
Pt1 0.000 0.000 0.000
Pt2 0.000 0.250 0.375
```

Record 2
# CdGeAs2

A relaxed CdGeAs2 crystal (PBE-GGA, Alexandria).

Formation energy from the elements (meV/atom): 231
E_tot (eV/atom): -3.477
Total moment (μB per formula unit): 0.000
Crystal system: trigonal

Geometry as CIF:
```
data_CdGeAs2
_chemical_formula_sum 'Cd3 Ge3 As6'
_space_group_name_H-M_alt 'R -3 m'
_space_group_IT_number 166
_space_group_name_Hall '-R 3 2"'
_cell_length_a 3.8159
_cell_length_b 3.8159
_cell_length_c 24.0929
_cell_angle_alpha 90.00
_cell_angle_beta 90.00
_cell_angle_gamma 120.00
loop_
_atom_site_label
_atom_site_fract_x
_atom_site_fract_y
_atom_site_fract_z
Cd1 0.0000 0.0000 0.0000
Ge1 0.0000 0.0000 0.5000
As1 0.0000 0.0000 0.1078
```